Entry 1:
VASP calculation (GGA-PBE) on a geometry-optimized Na2CaPt2 structure.

Cell: 8.2553 8.2553 2.9743 Å, 90.00 90.00 90.00°
Last column: nearest neighbours and their distance in Å.
Element x y z (fractional)
Na: 0.1119 0.3881 0.0000  1 Na 2.61, 2 Pt 2.78
Na: 0.3881 0.8881 0.0000  1 Na 2.61, 2 Pt 2.78
Na: 0.6119 0.1119 0.0000  1 Na 2.61, 2 Pt 2.78
Na: 0.8881 0.6119 0.0000  1 Na 2.61, 2 Pt 2.78
Ca: 0.0000 0.0000 0.0000  2 Ca 2.97
Ca: 0.5000 0.5000 0.0000  2 Ca 2.97
Pt: 0.1873 0.6873 0.5000  6 Na 2.78-2.95, 2 Pt 2.97
Pt: 0.3127 0.1873 0.5000  6 Na 2.78-2.95, 2 Pt 2.97
Pt: 0.6873 0.8127 0.5000  6 Na 2.78-2.95, 2 Pt 2.97
Pt: 0.8127 0.3127 0.5000  6 Na 2.78-2.95, 2 Pt 2.97

Values from the calculation:
V   101.35 Å³/f.u.
Energy relative to the elements   -0.241 eV per atom
D(E_F)   2.5 states/eV/cell
Total magnetization   0.00 μB/cell
Total DFT energy (no corrections)   -3.585 eV per atom



Entry 2:
VASP calculation (GGA-PBE) on a geometry-optimized Na3CaPt structure.

Cell: 5.4865 5.4865 5.4865 Å, 90.00 90.00 90.00°
Last column: nearest neighbours and their distance in Å.
Element x y z (fractional)
Na: 0.0000 0.0000 0.5000  2 Pt 2.74
Na: 0.0000 0.5000 0.0000  2 Pt 2.74
Na: 0.5000 0.0000 0.0000  2 Pt 2.74
Ca: 0.5000 0.5000 0.5000  12 Na 3.88
Pt: 0.0000 0.0000 0.0000  6 Na 2.74

Values from the calculation:
V   165.15 Å³/f.u.
Energy relative to the elements   0.126 eV per atom
D(E_F)   2.5 states/eV/cell
Total magnetization   0.00 μB/cell
Total DFT energy (no corrections)   -2.274 eV per atom



Entry 3:
VASP calculation (GGA-PBE) on a geometry-optimized NaCa2Pt structure.

Cell: 9.5546 9.5546 6.0819 Å, 90.00 90.00 90.00°
Last column: nearest neighbours and their distance in Å.
Element x y z (fractional)
Na: 0.0000 0.0000 0.0000  2 Pt 3.04
Na: 0.0000 0.5000 0.2500  2 Pt 3.04
Na: 0.5000 0.0000 0.7500  2 Pt 3.04
Na: 0.5000 0.5000 0.5000  2 Pt 3.04
Ca: 0.1267 0.2500 0.6250  2 Pt 2.78
Ca: 0.2500 0.6267 0.8750  2 Pt 2.78
Ca: 0.2500 0.8733 0.3750  2 Pt 2.78
Ca: 0.3733 0.2500 0.1250  2 Pt 2.78
Ca: 0.6267 0.7500 0.1250  2 Pt 2.78
Ca: 0.7500 0.1267 0.3750  2 Pt 2.78
Ca: 0.7500 0.3733 0.8750  2 Pt 2.78
Ca: 0.8733 0.7500 0.6250  2 Pt 2.78
Pt: 0.0000 0.0000 0.5000  4 Ca 2.78, 2 Na 3.04
Pt: 0.0000 0.5000 0.7500  4 Ca 2.78, 2 Na 3.04
Pt: 0.5000 0.0000 0.2500  4 Ca 2.78, 2 Na 3.04
Pt: 0.5000 0.5000 0.0000  4 Ca 2.78, 2 Na 3.04

Values from the calculation:
V   138.80 Å³/f.u.
Energy relative to the elements   -0.281 eV per atom
D(E_F)   8.4 states/eV/cell
Total magnetization   0.00 μB/cell
Total DFT energy (no corrections)   -3.122 eV per atom



Entry 4:
VASP calculation (GGA-PBE) on a geometry-optimized NaCa2Pt2 structure.

Cell: 8.3837 8.3837 3.3140 Å, 90.00 90.00 90.00°
Last column: nearest neighbours and their distance in Å.
Element x y z (fractional)
Na: 0.0000 0.0000 0.0000  4 Ca 3.23, 2 Na 3.31, 8 Pt 3.58
Na: 0.5000 0.5000 0.0000  4 Ca 3.23, 2 Na 3.31, 8 Pt 3.58
Ca: 0.1411 0.3589 0.0000  6 Pt 2.94-2.98, 2 Na 3.23
Ca: 0.3589 0.8589 0.0000  6 Pt 2.94-2.98, 2 Na 3.23
Ca: 0.6411 0.1411 0.0000  6 Pt 2.94-2.98, 2 Na 3.23
Ca: 0.8589 0.6411 0.0000  6 Pt 2.94-2.98, 2 Na 3.23
Pt: 0.1546 0.6546 0.5000  6 Ca 2.94-2.98
Pt: 0.3454 0.1546 0.5000  6 Ca 2.94-2.98
Pt: 0.6546 0.8454 0.5000  6 Ca 2.94-2.98
Pt: 0.8454 0.3454 0.5000  6 Ca 2.94-2.98

Values from the calculation:
V   116.46 Å³/f.u.
Energy relative to the elements   -0.586 eV per atom
D(E_F)   2.4 states/eV/cell
Total magnetization   0.00 μB/cell
Total DFT energy (no corrections)   -4.066 eV per atom



Entry 5:
VASP calculation (GGA-PBE) on a geometry-optimized NaCa2Pt structure.

Cell: 4.0917 4.0917 31.3910 Å, 90.00 90.00 120.00°
Last column: nearest neighbours and their distance in Å.
Element x y z (fractional)
Na: 0.0000 0.0000 0.0000  2 Ca 3.67, 6 Na 4.09
Na: 0.3333 0.6667 0.6667  2 Ca 3.67, 6 Na 4.09
Na: 0.6667 0.3333 0.3333  2 Ca 3.67, 6 Na 4.09
Ca: 0.0000 0.0000 0.1170  3 Pt 2.83
Ca: 0.0000 0.0000 0.8830  3 Pt 2.83
Ca: 0.3333 0.6667 0.5497  3 Pt 2.83
Ca: 0.3333 0.6667 0.7836  3 Pt 2.83
Ca: 0.6667 0.3333 0.2164  3 Pt 2.83
Ca: 0.6667 0.3333 0.4503  3 Pt 2.83
Pt: 0.0000 0.0000 0.5000  6 Ca 2.83
Pt: 0.3333 0.6667 0.1667  6 Ca 2.83
Pt: 0.6667 0.3333 0.8333  6 Ca 2.83

Values from the calculation:
V   151.71 Å³/f.u.
Energy relative to the elements   -0.394 eV per atom
D(E_F)   8.6 states/eV/cell
Total magnetization   0.00 μB/cell
Total DFT energy (no corrections)   -3.235 eV per atom



Entry 6:
VASP calculation (GGA-PBE) on a geometry-optimized Na2CaPt structure.

Cell: 4.2213 4.2213 22.9956 Å, 90.00 90.00 90.00°
Last column: nearest neighbours and their distance in Å.
Element x y z (fractional)
Na: 0.2153 0.2500 0.1250  2 Na 2.79
Na: 0.2500 0.7153 0.3750  2 Na 2.79
Na: 0.2500 0.7847 0.8750  2 Na 2.79
Na: 0.2847 0.2500 0.6250  2 Na 2.79
Na: 0.7153 0.7500 0.6250  2 Na 2.79
Na: 0.7500 0.2153 0.8750  2 Na 2.79
Na: 0.7500 0.2847 0.3750  2 Na 2.79
Na: 0.7847 0.7500 0.1250  2 Na 2.79
Ca: 0.0000 0.0000 0.5000  4 Pt 2.98, 4 Na 3.29
Ca: 0.0000 0.5000 0.7500  4 Pt 2.98, 4 Na 3.29
Ca: 0.5000 0.0000 0.2500  4 Pt 2.98, 4 Na 3.29
Ca: 0.5000 0.5000 0.0000  4 Pt 2.98, 4 Na 3.29
Pt: 0.0000 0.0000 0.0000  4 Ca 2.98, 4 Na 3.19
Pt: 0.0000 0.5000 0.2500  4 Ca 2.98, 4 Na 3.19
Pt: 0.5000 0.0000 0.7500  4 Ca 2.98, 4 Na 3.19
Pt: 0.5000 0.5000 0.5000  4 Ca 2.98, 4 Na 3.19

Values from the calculation:
V   102.44 Å³/f.u.
Energy relative to the elements   -0.174 eV per atom
D(E_F)   5.2 states/eV/cell
Total magnetization   0.00 μB/cell
Total DFT energy (no corrections)   -2.845 eV per atom



Entry 7:
VASP calculation (GGA-PBE) on a geometry-optimized NaCa2Pt2 structure.

Cell: 5.4266 5.4266 9.0378 Å, 90.00 90.00 90.00°
Last column: nearest neighbours and their distance in Å.
Element x y z (fractional)
Na: 0.0000 0.0000 0.0000  2 Pt 3.21, 8 Ca 3.53
Na: 0.5000 0.5000 0.5000  2 Pt 3.21, 8 Ca 3.53
Ca: 0.0000 0.5000 0.2500  4 Pt 2.88
Ca: 0.0000 0.5000 0.7500  4 Pt 2.88
Ca: 0.5000 0.0000 0.2500  4 Pt 2.88
Ca: 0.5000 0.0000 0.7500  4 Pt 2.88
Pt: 0.0000 0.0000 0.3555  1 Pt 2.61, 4 Ca 2.88
Pt: 0.0000 0.0000 0.6445  1 Pt 2.61, 4 Ca 2.88
Pt: 0.5000 0.5000 0.1445  1 Pt 2.61, 4 Ca 2.88
Pt: 0.5000 0.5000 0.8555  1 Pt 2.61, 4 Ca 2.88

Values from the calculation:
V   133.07 Å³/f.u.
Energy relative to the elements   -0.515 eV per atom
D(E_F)   2.9 states/eV/cell
Total magnetization   0.00 μB/cell
Total DFT energy (no corrections)   -3.996 eV per atom



Entry 8:
VASP calculation (GGA-PBE) on a geometry-optimized Na3CaPt structure.

Cell: 5.7864 5.7864 5.7864 Å, 90.00 90.00 90.00°
Last column: nearest neighbours and their distance in Å.
Element x y z (fractional)
Na: 0.0000 0.0000 0.5000  2 Ca 2.89
Na: 0.0000 0.5000 0.0000  2 Ca 2.89
Na: 0.5000 0.0000 0.0000  2 Ca 2.89
Ca: 0.0000 0.0000 0.0000  6 Na 2.89
Pt: 0.5000 0.5000 0.5000  12 Na 4.09

Values from the calculation:
V   193.74 Å³/f.u.
Energy relative to the elements   1.113 eV per atom
D(E_F)   4.7 states/eV/cell
Total magnetization   0.00 μB/cell
Total DFT energy (no corrections)   -1.287 eV per atom



Entry 9:
VASP calculation (GGA-PBE) on a geometry-optimized NaCa2Pt structure.

Cell: 4.1780 4.1780 27.3831 Å, 90.00 90.00 120.00°
Last column: nearest neighbours and their distance in Å.
Element x y z (fractional)
Na: 0.0000 0.0000 0.0000  6 Ca 3.86-3.92, 6 Na 4.18
Na: 0.3333 0.6667 0.6667  6 Ca 3.86-3.92, 6 Na 4.18
Na: 0.6667 0.3333 0.3333  6 Ca 3.86-3.92, 6 Na 4.18
Ca: 0.0000 0.0000 0.5539  3 Pt 2.85
Ca: 0.0000 0.0000 0.7769  3 Pt 2.84
Ca: 0.3333 0.6667 0.2206  3 Pt 2.85
Ca: 0.3333 0.6667 0.4436  3 Pt 2.84
Ca: 0.6667 0.3333 0.1102  3 Pt 2.84
Ca: 0.6667 0.3333 0.8873  3 Pt 2.85
Pt: 0.0000 0.0000 0.1651  6 Ca 2.84-2.85
Pt: 0.3333 0.6667 0.8318  6 Ca 2.84-2.85
Pt: 0.6667 0.3333 0.4984  6 Ca 2.84-2.85

Values from the calculation:
V   137.99 Å³/f.u.
Energy relative to the elements   -0.461 eV per atom
D(E_F)   6.4 states/eV/cell
Total magnetization   0.00 μB/cell
Total DFT energy (no corrections)   -3.301 eV per atom



Entry 10:
VASP calculation (GGA-PBE) on a geometry-optimized Na2CaPt2 structure.

Cell: 4.0606 4.0606 13.6994 Å, 90.00 90.00 90.00°
Last column: nearest neighbours and their distance in Å.
Element x y z (fractional)
Na: 0.0000 0.5000 0.2500  4 Na 2.87, 4 Pt 2.93
Na: 0.0000 0.5000 0.7500  4 Na 2.87, 4 Pt 2.93
Na: 0.5000 0.0000 0.2500  4 Na 2.87, 4 Pt 2.93
Na: 0.5000 0.0000 0.7500  4 Na 2.87, 4 Pt 2.93
Ca: 0.0000 0.0000 0.0000  8 Pt 3.16
Ca: 0.5000 0.5000 0.5000  8 Pt 3.16
Pt: 0.0000 0.0000 0.4040  1 Pt 2.63, 4 Na 2.93
Pt: 0.0000 0.0000 0.5960  1 Pt 2.63, 4 Na 2.93
Pt: 0.5000 0.5000 0.0960  1 Pt 2.63, 4 Na 2.93
Pt: 0.5000 0.5000 0.9040  1 Pt 2.63, 4 Na 2.93

Values from the calculation:
V   112.94 Å³/f.u.
Energy relative to the elements   -0.291 eV per atom
D(E_F)   3.1 states/eV/cell
Total magnetization   0.00 μB/cell
Total DFT energy (no corrections)   -3.636 eV per atom



Entry 11:
VASP calculation (GGA-PBE) on a geometry-optimized NaCa2Pt structure.

Cell: 3.5902 3.5902 9.2596 Å, 90.00 90.00 90.00°
Last column: nearest neighbours and their distance in Å.
Element x y z (fractional)
Na: 0.0000 0.0000 0.0000  4 Na 3.59, 8 Ca 3.92
Ca: 0.5000 0.5000 0.3228  4 Pt 3.02, 1 Ca 3.28
Ca: 0.5000 0.5000 0.6772  4 Pt 3.02, 1 Ca 3.28
Pt: 0.0000 0.0000 0.5000  8 Ca 3.02

Values from the calculation:
V   119.35 Å³/f.u.
Energy relative to the elements   -0.501 eV per atom
D(E_F)   2.0 states/eV/cell
Total magnetization   0.00 μB/cell
Total DFT energy (no corrections)   -3.342 eV per atom



Entry 12:
VASP calculation (GGA-PBE) on a geometry-optimized NaCa2Pt2 structure.

Cell: 7.8495 7.8495 3.8651 Å, 90.00 90.00 90.00°
Last column: nearest neighbours and their distance in Å.
Element x y z (fractional)
Na: 0.0000 0.0000 0.0000  4 Pt 3.09
Na: 0.5000 0.5000 0.0000  4 Pt 3.09
Ca: 0.1631 0.3369 0.5000  6 Pt 3.01
Ca: 0.3369 0.8369 0.5000  6 Pt 3.01
Ca: 0.6631 0.1631 0.5000  6 Pt 3.01
Ca: 0.8369 0.6631 0.5000  6 Pt 3.01
Pt: 0.1284 0.6284 0.0000  1 Pt 2.85, 6 Ca 3.01, 2 Na 3.09
Pt: 0.3716 0.1284 0.0000  1 Pt 2.85, 6 Ca 3.01, 2 Na 3.09
Pt: 0.6284 0.8716 0.0000  1 Pt 2.85, 6 Ca 3.01, 2 Na 3.09
Pt: 0.8716 0.3716 0.0000  1 Pt 2.85, 6 Ca 3.01, 2 Na 3.09

Values from the calculation:
V   119.07 Å³/f.u.
Energy relative to the elements   -0.670 eV per atom
D(E_F)   5.1 states/eV/cell
Total magnetization   0.00 μB/cell
Total DFT energy (no corrections)   -4.150 eV per atom